(1)
VASP calculation (PBE) on an optimized crystal structure of NbRe2Si.

a b c (Å): 7.282 7.282 5.055
angles (deg): 90.00 90.00 90.00
Space group I-42d (No. 122)
Symmetry-distinct sites (fractional):
Nb  0.000  0.000  0.000 [4 per cell]
Re  0.182  0.750  0.625 [8 per cell]
Si  0.000  0.000  0.500 [4 per cell]

Output
- Calculated volume: 16.75 Å³ per atom
- Formation energy from raw total energies: 2.2 eV/f.u.
- E_tot: -9.548 eV/atom

=====

(2)
VASP calculation (PBE) on an optimized crystal structure of Tb5Dy8Pu.

a b c (Å): 9.938 9.938 9.126
angles (deg): 90.00 90.00 90.00
Space group I-4 (No. 82)
Symmetry-distinct sites (fractional):
Tb  0.000  0.000  0.000 [2 per cell]
Tb  0.076  0.162  0.627 [8 per cell]
Dy  0.033  0.338  0.941 [8 per cell]
Dy  0.152  0.245  0.290 [8 per cell]
Pu  0.000  0.500  0.250 [2 per cell]

Output
- Energy of formation from the pure elements: 0.288 eV/atom
- Calculated volume: 32.19 Å³ per atom
- E_tot: -5.019 eV/atom

=====

(3)
VASP calculation (PBE) on an optimized crystal structure of Tb12As3H5.

a b c (Å): 15.226 15.226 15.226
angles (deg): 90.00 90.00 90.00
Space group Ia-3d (No. 230)
Symmetry-distinct sites (fractional):
Tb  0.038  0.060  0.654 [96 per cell]
As  0.000  0.250  0.125 [24 per cell]
H  0.000  0.000  0.000 [16 per cell]
H  0.000  0.250  0.375 [24 per cell]

Output
- Calculated volume: 22.06 Å³ per atom
- E_tot: -4.840 eV/atom

=====

(4)
VASP calculation (PBE) on an optimized crystal structure of HfPd4Au.

a b c (Å): 4.429 19.201 5.507
angles (deg): 90.00 90.00 90.00
Space group Cmcm (No. 63)
Symmetry-distinct sites (fractional):
Hf  0.000  0.116  0.250 [4 per cell]
Pd  0.000  0.000  0.000 [4 per cell]
Pd  0.000  0.216  0.518 [8 per cell]
Pd  0.000  0.467  0.750 [4 per cell]
Au  0.000  0.368  0.250 [4 per cell]

Output
- Energy of formation from the pure elements: -0.043 eV/atom
- Calculated volume: 19.51 Å³ per atom
- Energy above the most stable polymorph in this dataset: 2.44 eV per formula unit
- E_tot: -5.710 eV/atom

=====

(5)
VASP calculation (PBE) on an optimized crystal structure of CeTl2Se2Br2.

a b c (Å): 5.619 5.619 16.545
angles (deg): 90.00 90.00 90.00
Space group I4/mmm (No. 139)
Symmetry-distinct sites (fractional):
Ce  0.000  0.000  0.000 [2 per cell]
Tl  0.000  0.000  0.378 [4 per cell]
Se  0.000  0.500  0.000 [4 per cell]
Br  0.000  0.000  0.171 [4 per cell]

Output
- Calculated volume: 37.32 Å³ per atom
- Formation energy from raw total energies: -7.9 eV/f.u.
- E_tot: -4.129 eV/atom

=====

(6)
VASP calculation (PBE) on an optimized crystal structure of Li4AgPd.

a b c (Å): 7.041 7.041 7.041
angles (deg): 90.00 90.00 90.00
Space group F-43m (No. 216)
Symmetry-distinct sites (fractional):
Li  0.124  0.124  0.376 [16 per cell]
Ag  0.000  0.000  0.000 [4 per cell]
Pd  0.250  0.250  0.750 [4 per cell]

Output
- Energy of formation from the pure elements: -0.103 eV/atom
- Calculated volume: 14.54 Å³ per atom
- Energy above the most stable polymorph in this dataset: 1.04 eV per formula unit
- E_tot: -2.719 eV/atom

=====

(7)
VASP calculation (PBE) on an optimized crystal structure of Nd6Co2PtI3.

a b c (Å): 7.177 12.428 8.443
angles (deg): 90.00 106.44 90.00
Space group C2/m (No. 12)
Symmetry-distinct sites (fractional):
Nd  0.212  0.000  0.183 [4 per cell]
Nd  0.236  0.326  0.183 [8 per cell]
Co  0.000  0.167  0.000 [4 per cell]
Pt  0.000  0.500  0.000 [2 per cell]
I  0.000  0.000  0.500 [2 per cell]
I  0.000  0.334  0.500 [4 per cell]

Output
- Calculated volume: 30.09 Å³ per atom
- Formation energy from raw total energies: -9.2 eV/f.u.
- E_tot: -5.223 eV/atom

=====

(8)
VASP calculation (PBE) on an optimized crystal structure of Cs4Tl5Pb.

a b c (Å): 11.873 11.873 6.995
angles (deg): 90.00 90.00 90.00
Space group I4mm (No. 107)
Symmetry-distinct sites (fractional):
Cs  0.000  0.293  0.000 [8 per cell]
Tl  0.000  0.000  0.241 [2 per cell]
Tl  0.155  0.155  0.501 [8 per cell]
Pb  0.000  0.000  0.763 [2 per cell]

Output
- Energy of formation from the pure elements: -0.096 eV/atom
- Calculated volume: 49.30 Å³ per atom
- E_tot: -1.991 eV/atom

=====

(9)
VASP calculation (PBE) on an optimized crystal structure of InCoHPd2.

a b c (Å): 4.034 4.034 3.910
angles (deg): 90.00 90.00 90.00
Space group P4/mmm (No. 123)
Symmetry-distinct sites (fractional):
In  0.000  0.000  0.000 [1 per cell]
Co  0.500  0.500  0.000 [1 per cell]
H  0.500  0.500  0.500 [1 per cell]
Pd  0.000  0.500  0.500 [2 per cell]

Output
- Calculated volume: 12.72 Å³ per atom
- E_tot: -4.892 eV/atom

=====

(10)
VASP calculation (PBE) on an optimized crystal structure of Ba3HPd.

a b c (Å): 8.873 4.305 9.571
angles (deg): 90.00 102.60 90.00
Space group P2_1/m (No. 11)
Symmetry-distinct sites (fractional):
Ba  0.075  0.250  0.339 [2 per cell]
Ba  0.263  0.250  0.991 [2 per cell]
Ba  0.397  0.750  0.640 [2 per cell]
H  0.153  0.250  0.645 [2 per cell]
Pd  0.324  0.750  0.275 [2 per cell]

Output
- Calculated volume: 35.68 Å³ per atom
- Energy above the most stable polymorph in this dataset: 0.27 eV per formula unit
- E_tot: -3.193 eV/atom

=====

(11)
VASP calculation (PBE) on an optimized crystal structure of PdN4Cl2O.

a b c (Å): 7.300 7.300 4.823
angles (deg): 90.00 90.00 90.00
Space group P-42_1m (No. 113)
Symmetry-distinct sites (fractional):
Pd  0.000  0.000  0.000 [2 per cell]
N  0.015  0.232  0.227 [8 per cell]
Cl  0.216  0.284  0.367 [4 per cell]
O  0.000  0.500  0.141 [2 per cell]

Output
- Calculated volume: 16.06 Å³ per atom
- Energy above the most stable polymorph in this dataset: 9.48 eV per formula unit
- Formation energy from raw total energies: 14.1 eV/f.u.
- E_tot: -4.136 eV/atom

=====

(12)
VASP calculation (PBE) on an optimized crystal structure of SrAl2InFe.

a b c (Å): 5.244 5.244 5.051
angles (deg): 90.00 90.00 90.00
Space group P4/mmm (No. 123)
Symmetry-distinct sites (fractional):
Sr  0.000  0.000  0.000 [1 per cell]
Al  0.000  0.500  0.500 [2 per cell]
In  0.500  0.500  0.500 [1 per cell]
Fe  0.500  0.500  0.000 [1 per cell]

Output
- Energy of formation from the pure elements: 0.650 eV/atom
- Calculated volume: 27.78 Å³ per atom
- Energy above the most stable polymorph in this dataset: 4.15 eV per formula unit
- E_tot: -3.424 eV/atom

=====

(13)
VASP calculation (PBE) on an optimized crystal structure of AsPSe2N.

a b c (Å): 5.102 5.102 3.618
angles (deg): 90.00 90.00 90.00
Space group P4/mmm (No. 123)
Symmetry-distinct sites (fractional):
As  0.000  0.000  0.000 [1 per cell]
P  0.500  0.500  0.500 [1 per cell]
Se  0.000  0.500  0.000 [2 per cell]
N  0.000  0.000  0.500 [1 per cell]

Output
- Calculated volume: 18.83 Å³ per atom
- Energy above the most stable polymorph in this dataset: 2.43 eV per formula unit
- Formation energy from raw total energies: 5.5 eV/f.u.
- E_tot: -3.967 eV/atom

=====

(14)
VASP calculation (PBE) on an optimized crystal structure of Pr8InIr3Br4.

a b c (Å): 8.5636 8.5636 23.4365
angles (deg): 90.00 90.00 120.00
Space group R-3m (No. 166, hexagonal axes)
Symmetry-distinct sites (fractional):
Pr  0.0000  0.0000  0.2329 [6 per cell]
Pr  0.0238  0.5119  0.7659 [18 per cell]
In  0.0000  0.0000  0.5000 [3 per cell]
Ir  0.0000  0.5000  0.5000 [9 per cell]
Br  0.0000  0.0000  0.0000 [3 per cell]
Br  0.0000  0.5000  0.0000 [9 per cell]

Output
- Calculated volume: 31.01 Å³ per atom
- Formation energy from raw total energies: -15.5 eV/f.u.
- E_tot: -5.608 eV/atom

=====

(15)
VASP calculation (PBE) on an optimized crystal structure of LiSiSe3.

a b c (Å): 4.900 4.900 4.900
angles (deg): 90.00 90.00 90.00
Space group Pm-3m (No. 221)
Symmetry-distinct sites (fractional):
Li  0.000  0.000  0.000 [1 per cell]
Si  0.500  0.500  0.500 [1 per cell]
Se  0.000  0.500  0.500 [3 per cell]

Output
- Calculated volume: 23.53 Å³ per atom
- Energy above the most stable polymorph in this dataset: 2.28 eV per formula unit
- Formation energy from raw total energies: -0.3 eV/f.u.
- E_tot: -3.617 eV/atom

=====

(16)
VASP calculation (PBE) on an optimized crystal structure of Er2NiRu.

a b c (Å): 4.747 4.747 6.735
angles (deg): 90.00 90.00 90.00
Space group I4/mmm (No. 139)
Symmetry-distinct sites (fractional):
Er  0.000  0.500  0.250 [4 per cell]
Ni  0.000  0.000  0.000 [2 per cell]
Ru  0.000  0.000  0.500 [2 per cell]

Output
- Energy of formation from the pure elements: -0.448 eV/atom
- Calculated volume: 18.97 Å³ per atom
- E_tot: -6.494 eV/atom

=====

(17)
VASP calculation (PBE) on an optimized crystal structure of Y2RhW.

a b c (Å): 9.129 3.117 6.060
angles (deg): 90.00 99.65 90.00
Space group C2/m (No. 12)
Symmetry-distinct sites (fractional):
Y  0.243  0.000  0.244 [4 per cell]
Rh  0.000  0.500  0.000 [2 per cell]
W  0.000  0.000  0.500 [2 per cell]

Output
- Energy of formation from the pure elements: 0.339 eV/atom
- Calculated volume: 21.25 Å³ per atom
- Energy above the most stable polymorph in this dataset: 1.46 eV per formula unit
- E_tot: -7.969 eV/atom

=====

(18)
VASP calculation (PBE) on an optimized crystal structure of Sm7CdAg4.

a b c (Å): 14.647 5.699 9.434
angles (deg): 90.00 121.55 90.00
Space group C2/m (No. 12)
Symmetry-distinct sites (fractional):
Sm  0.000  0.000  0.000 [2 per cell]
Sm  0.076  0.500  0.410 [4 per cell]
Sm  0.184  0.500  0.882 [4 per cell]
Sm  0.229  0.000  0.693 [4 per cell]
Cd  0.000  0.500  0.000 [2 per cell]
Ag  0.028  0.000  0.690 [4 per cell]
Ag  0.186  0.000  0.345 [4 per cell]

Output
- Energy of formation from the pure elements: -0.055 eV/atom
- Calculated volume: 27.96 Å³ per atom
- E_tot: -3.834 eV/atom

=====

(19)
VASP calculation (PBE) on an optimized crystal structure of Pa2Ir3Rh3.

a b c (Å): 4.072 4.073 8.149
angles (deg): 90.00 90.00 90.00
Space group Pmmm (No. 47)
Symmetry-distinct sites (fractional):
Pa  0.000  0.000  0.249 [2 per cell]
Ir  0.000  0.500  0.500 [1 per cell]
Ir  0.500  0.000  0.000 [1 per cell]
Ir  0.500  0.000  0.500 [1 per cell]
Rh  0.000  0.500  0.000 [1 per cell]
Rh  0.500  0.500  0.251 [2 per cell]

Output
- Energy of formation from the pure elements: -0.879 eV/atom
- Calculated volume: 16.89 Å³ per atom
- E_tot: -9.333 eV/atom

=====

(20)
VASP calculation (PBE) on an optimized crystal structure of MnBi2I.

a b c (Å): 6.751 6.751 13.693
angles (deg): 90.00 90.00 90.00
Space group I-42d (No. 122)
Symmetry-distinct sites (fractional):
Mn  0.000  0.000  0.000 [4 per cell]
Bi  0.141  0.250  0.125 [8 per cell]
I  0.000  0.000  0.500 [4 per cell]

Output
- Calculated volume: 39.01 Å³ per atom
- Energy above the most stable polymorph in this dataset: 0.00 eV per formula unit
- Formation energy from raw total energies: 1.8 eV/f.u.
- E_tot: -4.181 eV/atom